Model P:
## LiCo2Tc (meta-GGA SCAN)

Data for LiCo2Tc at its PBEsol-relaxed geometry.

Unit cell a=2.500 b=4.340 c=4.513 alpha=103.20 beta=106.08 gamma=90.00
Fractional positions:
Co  0.983  0.034  0.966
Tc  0.732  0.202  0.463
Li  0.514  0.552  0.028
Co  0.271  0.712  0.542

Output
- Size of the total moment: 2.6 μB per cell
- Space group: No. 8

Model Q:
## LiCo2Tc (meta-GGA SCAN)

Data for LiCo2Tc at its PBEsol-relaxed geometry.

Unit cell a=2.535 b=4.160 c=5.055 alpha=114.30 beta=104.52 gamma=90.00
Fractional positions:
Co  0.725  0.225  0.450
Tc  0.279  0.779  0.557
Co  0.004  0.004  0.009
Li  0.492  0.492  0.983

Output
- Size of the total moment: 2.8 μB per cell
- Space group: No. 44

Energy above the most stable structure, in meV/atom: model P 0; model Q 29

Model P:
## LiCoW2 (meta-GGA SCAN)

Data for LiCoW2 at its PBEsol-relaxed geometry.

Unit cell a=2.611 b=4.190 c=4.799 alpha=90.00 beta=97.26 gamma=90.00
Fractional positions:
Co  0.411  0.000  0.490
W  0.764  0.500  0.278
W  0.983  0.000  0.971
Li  0.342  0.500  0.761

Output
- Size of the total moment: 0.0 μB per cell
- Space group: No. 6

Model Q:
## LiCoW2 (meta-GGA SCAN)

Data for LiCoW2 at its PBEsol-relaxed geometry.

Unit cell a=2.953 b=4.261 c=5.008 alpha=115.18 beta=107.15 gamma=90.00
Fractional positions:
Li  0.500  0.000  0.000
W  0.262  0.262  0.524
W  0.738  0.738  0.476
Co  0.000  0.500  0.000

Output
- Size of the total moment: 0.0 μB per cell
- Space group: No. 71

Model R:
## LiCoW2 (meta-GGA SCAN)

Data for LiCoW2 at its PBEsol-relaxed geometry.

Unit cell a=2.624 b=3.790 c=5.330 alpha=90.00 beta=90.00 gamma=90.00
Fractional positions:
W  0.500  0.500  0.269
Li  0.500  0.500  0.737
W  0.000  0.000  0.976
Co  0.000  0.000  0.518

Output
- Size of the total moment: 0.0 μB per cell
- Space group: No. 25

Energy above the most stable structure, in meV/atom: model P 0; model Q 30; model R 110

Model P:
## LiZr2Co (meta-GGA SCAN)

Data for LiZr2Co at its PBEsol-relaxed geometry.

Unit cell a=4.505 b=4.508 c=4.508 alpha=60.02 beta=60.02 gamma=60.02
Fractional positions:
Li  0.500  0.000  0.000
Zr  0.750  0.250  0.250
Co  0.000  0.500  0.500
Zr  0.250  0.750  0.750

Output
- Size of the total moment: 0.6 μB per cell
- Space group: No. 225

Model Q:
## LiZr2Co (meta-GGA SCAN)

Data for LiZr2Co at its PBEsol-relaxed geometry.

Unit cell a=3.237 b=3.273 c=6.386 alpha=94.96 beta=90.00 gamma=90.00
Fractional positions:
Zr  0.000  0.059  0.271
Zr  0.000  0.941  0.729
Li  0.500  0.500  0.000
Co  0.500  0.500  0.500

Output
- Size of the total moment: 0.0 μB per cell
- Space group: No. 10

Energy above the most stable structure, in meV/atom: model P 0; model Q 117